--- w ---
Here is a relaxed structure of HfTi3Bi2 from Alexandria via LeMat-Bulk. Energies are from GGA-PBE.

Unit cell a=3.852 b=7.270 c=18.286 alpha=90.00 beta=90.00 gamma=90.00
Last column: magnetic moment on the atom in μB.
Fractional coordinates of all 24 atoms:
Hf 0.250 0.936 0.437  -0.01
Hf 0.750 0.564 0.937  -0.01
Hf 0.250 0.436 0.063  -0.01
Hf 0.750 0.064 0.563  -0.01
Ti 0.250 0.866 0.972  0.28
Ti 0.750 0.634 0.472  0.28
Ti 0.250 0.366 0.528  0.28
Ti 0.750 0.134 0.028  0.28
Ti 0.250 0.037 0.134  0.62
Ti 0.750 0.463 0.634  0.62
Ti 0.250 0.537 0.366  0.62
Ti 0.750 0.963 0.866  0.62
Ti 0.250 0.633 0.211  0.04
Ti 0.750 0.867 0.711  0.04
Ti 0.250 0.133 0.289  0.04
Ti 0.750 0.367 0.789  0.04
Bi 0.250 0.742 0.593  -0.01
Bi 0.750 0.758 0.093  -0.01
Bi 0.250 0.242 0.907  -0.01
Bi 0.750 0.258 0.407  -0.01
Bi 0.250 0.682 0.809  -0.01
Bi 0.750 0.818 0.309  -0.01
Bi 0.250 0.182 0.691  -0.01
Bi 0.750 0.318 0.191  -0.01

Computed properties:
Total moment   1.17 μB/f.u.

--- x ---
Here is a relaxed structure of HfTi3Bi2 from Alexandria via LeMat-Bulk. Energies are from GGA-PBE.

Unit cell a=3.812 b=9.305 c=10.163 alpha=126.37 beta=90.00 gamma=101.82
Fractional coordinates of all 12 atoms:
Hf 0.890 0.779 0.832
Hf 0.110 0.221 0.168
Ti 0.324 0.649 0.551
Ti 0.960 0.920 0.594
Ti 0.590 0.180 0.645
Ti 0.410 0.820 0.355
Ti 0.040 0.080 0.406
Ti 0.676 0.351 0.449
Bi 0.535 0.071 0.867
Bi 0.465 0.929 0.133
Bi 0.768 0.536 0.279
Bi 0.232 0.464 0.721

Computed properties:
Total moment   0.00 μB/f.u.

Most stable structure among those shown: x. Next: +70 meV/atom.